A plane-wave DFT calculation with GGA+U was carried out for a relaxed Li2V3O6 crystal.

abc: 5.1191 6.7510 6.7511
angles: 95.85 83.01 96.99
Each line ends with the local moment (μB).
Sites, in units of the cell vectors:
V  0.2500  0.0876  0.5876  1.88
V  0.7500  0.2500  0.7500  1.91
V  0.2500  0.4124  0.9124  1.88
V  0.2500  0.7500  0.2500  1.85
V  0.7499  0.9154  0.4154  1.08
V  0.7501  0.5846  0.0846  1.08
O  0.8711  0.9638  0.6838  0.00
O  0.6288  0.1837  0.4638  0.00
O  0.3955  0.4753  0.1852  -0.03
O  0.3955  0.8147  0.5248  -0.03
O  0.8828  0.6415  0.3585  0.00
O  0.1045  0.6853  0.9752  -0.03
O  0.6290  0.5362  0.8162  0.00
O  0.1103  0.3604  0.6397  -0.01
O  0.8711  0.3162  0.0363  0.00
O  0.6172  0.8585  0.1415  0.00
O  0.1045  0.0247  0.3147  -0.03
O  0.3897  0.1396  0.8603  -0.01
Li  0.5176  0.8361  0.8315  0.00
Li  0.5176  0.1685  0.1639  0.00
Li  0.9825  0.6640  0.6685  0.00
Li  0.9824  0.3315  0.3361  0.00

Its volume is 114.5 Å³/f.u. Its magnetization is 5.000 μB per formula unit. The energy above the most stable polymorph in this dataset is 12 meV/atom.